Record 1
10
Lattice="4.3782 0.0000 0.0000 0.0000 4.3782 0.0000 0.0000 0.0000 10.7942" Properties=species:S:1:pos:R:3 comment="BaCu2Pd2 (PBE, optimized geometry)" energy_ev_per_atom=-4.270 ef_mev_per_atom=-169 n_ef_per_ev_cell=6.6 crystal_system=tetragonal mass_density_g_cm3=7.66 relative_energy_mev_per_atom=47 magmom_total_mub_per_atom=0.00 pbc="T T T"
Ba 0.0000 0.0000 0.0000
Ba 2.1891 2.1891 5.3971
Cu 0.0000 2.1891 2.6986
Cu 0.0000 2.1891 8.0957
Cu 2.1891 0.0000 2.6986
Cu 2.1891 0.0000 8.0957
Pd 0.0000 0.0000 4.0421
Pd 0.0000 0.0000 6.7521
Pd 2.1891 2.1891 1.3550
Pd 2.1891 2.1891 9.4392



Record 2
10
Lattice="4.4260 0.0000 0.0000 0.0000 4.4260 0.0000 0.0000 0.0000 10.3138" Properties=species:S:1:pos:R:3 comment="BaCu2Pd2 (PBE, optimized geometry)" energy_ev_per_atom=-4.316 ef_mev_per_atom=-216 n_ef_per_ev_cell=2.6 crystal_system=tetragonal mass_density_g_cm3=7.84 relative_energy_mev_per_atom=0 magmom_total_mub_per_atom=0.00 pbc="T T T"
Ba 0.0000 0.0000 0.0000
Ba 2.2130 2.2130 5.1569
Cu 0.0000 0.0000 3.9217
Cu 0.0000 0.0000 6.3921
Cu 2.2130 2.2130 1.2352
Cu 2.2130 2.2130 9.0787
Pd 0.0000 2.2130 2.5785
Pd 0.0000 2.2130 7.7354
Pd 2.2130 0.0000 2.5785
Pd 2.2130 0.0000 7.7354



Record 3
18
Lattice="3.9768 -7.0771 0.0000 3.9768 7.0771 0.0000 -0.0033 0.0000 15.2151" Properties=species:S:1:pos:R:3 comment="Ba12CuPd5 (PBE, optimized geometry)" energy_ev_per_atom=-3.300 ef_mev_per_atom=-348 n_ef_per_ev_cell=7.8 crystal_system=monoclinic mass_density_g_cm3=4.35 magmom_total_mub_per_atom=0.00 pbc="T T T"
Ba 2.6719 4.7179 13.4821
Ba 1.2511 0.0000 5.8490
Ba 2.6498 2.4035 9.3611
Ba 5.2785 4.7179 1.7330
Ba 2.6698 0.0000 13.4705
Ba 5.3005 2.4035 5.8540
Ba 2.6498 -2.4035 9.3611
Ba 5.2806 0.0000 1.7446
Ba 2.6719 -4.7179 13.4821
Ba 5.3005 -2.4035 5.8540
Ba 6.6992 0.0000 9.3661
Ba 5.2785 -4.7179 1.7330
Cu 3.9752 0.0000 7.6076
Pd 0.0000 0.0000 0.0000
Pd 3.9752 4.7231 7.6076
Pd 3.9768 2.3531 0.0000
Pd 3.9768 -2.3531 0.0000
Pd 3.9752 -4.7231 7.6076



Record 4
8
Lattice="4.5838 0.0000 0.0000 0.0000 4.5996 0.0000 0.0000 0.0000 12.5351" Properties=species:S:1:pos:R:3 comment="Ba4Cu3Pd (PBE, optimized geometry)" energy_ev_per_atom=-3.298 ef_mev_per_atom=-151 n_ef_per_ev_cell=6.3 crystal_system=orthorhombic mass_density_g_cm3=5.32 magmom_total_mub_per_atom=0.00 pbc="T T T"
Ba 0.0000 0.0000 0.0000
Ba 0.0000 2.2998 3.3489
Ba 2.2919 0.0000 6.1195
Ba 2.2919 2.2998 9.6175
Cu 0.0000 0.0000 8.4721
Cu 0.0000 2.2998 7.2646
Cu 2.2919 2.2998 0.9782
Pd 2.2919 0.0000 2.3761



Record 5
9
Lattice="10.0614 -2.3446 0.0000 10.0614 2.3446 0.0000 -1.9033 0.0000 9.0451" Properties=species:S:1:pos:R:3 comment="Ba6CuPd2 (PBE, optimized geometry)" energy_ev_per_atom=-3.164 ef_mev_per_atom=-273 n_ef_per_ev_cell=6.0 crystal_system=monoclinic mass_density_g_cm3=4.28 magmom_total_mub_per_atom=0.00 pbc="T T T"
Ba -0.3599 0.0000 2.2137
Ba 5.8166 0.0000 3.8747
Ba 5.0211 0.0000 8.1685
Ba 13.1983 0.0000 0.8766
Ba 12.4029 0.0000 5.1704
Ba 18.5794 0.0000 6.8314
Cu 10.0614 0.0000 0.0000
Pd 2.7140 0.0000 3.0030
Pd 15.5055 0.0000 6.0421



Record 6
10
Lattice="4.5390 0.0000 0.0000 2.2670 5.9171 0.0000 2.2587 -0.7586 10.6528" Properties=species:S:1:pos:R:3 comment="Ba2Cu2Pd (PBE, optimized geometry)" energy_ev_per_atom=-3.657 ef_mev_per_atom=-211 n_ef_per_ev_cell=4.8 crystal_system=triclinic mass_density_g_cm3=5.90 relative_energy_mev_per_atom=0 magmom_total_mub_per_atom=0.00 pbc="T T T"
Ba 1.1363 1.2650 1.4562
Ba 3.3974 3.8353 4.1562
Ba 5.6672 1.3232 6.4965
Ba 7.9283 3.8935 9.1965
Cu 3.3951 3.7937 0.9092
Cu 5.6612 4.9404 6.4951
Cu 3.4034 0.2182 4.1577
Cu 5.6695 1.3648 9.7436
Pd 3.3979 0.4798 8.6954
Pd 5.6667 4.6787 1.9574



Record 7
16
Lattice="7.9304 0.0000 0.0000 -3.9652 6.8680 0.0000 0.0000 0.0000 15.1945" Properties=species:S:1:pos:R:3 comment="Ba6CuPd (PBE, optimized geometry)" energy_ev_per_atom=-2.764 ef_mev_per_atom=-161 n_ef_per_ev_cell=13.1 crystal_system=trigonal mass_density_g_cm3=3.99 magmom_total_mub_per_atom=0.00 pbc="T T T"
Ba -1.2746 2.2619 1.8729
Ba -2.6436 4.6332 5.7243
Ba 1.2746 2.2619 5.7243
Ba -1.3690 6.8408 1.8729
Ba 2.5962 0.0271 9.4702
Ba 1.3216 2.2348 13.3215
Ba 2.6436 4.6332 1.8729
Ba 1.3690 6.8408 5.7243
Ba 5.3343 0.0271 13.3215
Ba 2.6906 4.6060 9.4702
Ba 6.6088 2.2348 9.4702
Ba 5.2398 4.6060 13.3215
Cu 0.0000 4.5786 3.7986
Cu 3.9652 2.2893 11.3958
Pd 0.0000 0.0000 0.0000
Pd 0.0000 0.0000 7.5972



Record 8
24
Lattice="12.8375 0.0000 0.0000 0.0000 4.6171 0.0000 0.0000 0.0000 13.1329" Properties=species:S:1:pos:R:3 comment="Ba3CuPd2 (PBE, optimized geometry)" energy_ev_per_atom=-3.756 ef_mev_per_atom=-381 n_ef_per_ev_cell=15.4 crystal_system=orthorhombic mass_density_g_cm3=5.87 magmom_total_mub_per_atom=0.00 pbc="T T T"
Ba 0.7759 1.1543 1.6380
Ba 1.5212 3.4629 7.2798
Ba 2.6363 1.1543 10.5648
Ba 3.7824 3.4629 3.9984
Ba 4.8975 1.1543 0.7133
Ba 5.6428 3.4629 8.2044
Ba 7.1947 1.1543 4.9284
Ba 7.9400 3.4629 12.4195
Ba 9.0551 1.1543 9.1345
Ba 10.2012 3.4629 2.5681
Ba 11.3163 1.1543 5.8531
Ba 12.0616 3.4629 11.4949
Cu 1.6164 1.1543 4.8431
Cu 4.8023 3.4629 11.4095
Cu 8.0352 1.1543 1.7233
Cu 11.2211 3.4629 8.2898
Pd 0.4802 3.4629 4.1742
Pd 2.5415 3.4629 12.8604
Pd 3.8772 1.1543 6.2940
Pd 5.9386 1.1543 10.7407
Pd 6.8989 3.4629 2.3922
Pd 8.9603 3.4629 6.8389
Pd 10.2960 1.1543 0.2725
Pd 12.3573 1.1543 8.9586